# 1
Tb7Sm2Th4 | Alexandria via LeMat-Bulk | PBE-GGA | relaxed; E = -67.92 eV for the cell shown; volume = 35.5 A^3/atom; crystal system = triclinic; M_tot = 0.0 μB/cell; formation energy from the elements = 0.278 eV/atom; SG = P-1
1.0
7.609 -2.244 -0.918
-5.401 9.861 1.015
-1.275 0.888 7.516
Tb Sm Th
7 2 4
direct
0.935 0.535 0.662
0.065 0.465 0.338
0.000 0.000 0.000
0.735 0.135 0.663
0.265 0.865 0.337
0.651 0.659 0.324
0.349 0.341 0.676
0.597 0.190 0.004
0.403 0.810 0.996
0.118 0.926 0.666
0.882 0.074 0.334
0.460 0.260 0.342
0.540 0.740 0.658

***

# 2
Tb3Sm2Th3 | Alexandria via LeMat-Bulk | PBE-GGA | relaxed; E = -44.26 eV for the cell shown; volume = 32.8 A^3/atom; crystal system = hexagonal; M_tot = 0.0 μB/cell; formation energy from the elements = 0.166 eV/atom; SG = P-62m
1.0
3.636 0.000 0.000
0.000 7.907 -4.563
0.000 -0.003 9.129
Tb Sm Th
3 2 3
direct
0.500 0.000 0.395
0.500 0.395 0.000
0.500 0.606 0.606
0.000 0.667 0.333
0.000 0.333 0.667
0.000 0.000 0.774
0.000 0.774 0.000
0.000 0.225 0.225

***

# 3
Tb3Sm2Th6 | Alexandria via LeMat-Bulk | PBE-GGA | relaxed; E = -67.43 eV for the cell shown; volume = 32.3 A^3/atom; crystal system = trigonal; M_tot = 0.0 μB/cell; formation energy from the elements = 0.038 eV/atom; SG = R-3m
1.0
3.578 0.000 0.220
1.783 3.103 0.220
-0.168 -0.097 32.012
Tb Sm Th
3 2 6
direct
0.000 0.000 0.000
0.727 0.727 0.820
0.273 0.273 0.180
0.546 0.546 0.362
0.454 0.454 0.638
0.910 0.910 0.271
0.090 0.090 0.729
0.819 0.819 0.544
0.181 0.181 0.456
0.637 0.637 0.090
0.363 0.363 0.910

***

# 4
TbSm2Th3 | Alexandria via LeMat-Bulk | PBE-GGA | relaxed; E = -70.37 eV for the cell shown; volume = 33.0 A^3/atom; crystal system = orthorhombic; M_tot = 0.0 μB/cell; formation energy from the elements = 0.191 eV/atom; SG = Cmcm
1.0
-0.052 6.272 2.549
-7.372 3.214 -8.059
-0.230 -2.888 7.101
Tb Sm Th
2 4 6
direct
0.250 0.229 0.000
0.750 0.771 0.000
0.750 0.437 0.334
0.250 0.563 0.666
0.250 0.897 0.334
0.750 0.103 0.666
0.000 0.166 0.332
0.500 0.834 0.668
0.000 0.500 0.000
0.500 0.500 0.000
0.000 0.834 0.668
0.500 0.166 0.332

***

# 5
Tb8Sm5Th | Alexandria via LeMat-Bulk | PBE-GGA | relaxed; E = -64.16 eV for the cell shown; volume = 33.7 A^3/atom; crystal system = tetragonal; M_tot = 0.6 μB/cell; formation energy from the elements = 0.279 eV/atom; SG = I-4
1.0
8.075 0.000 -2.642
-4.093 6.846 -2.927
0.110 0.000 8.496
Tb Sm Th
8 5 1
direct
0.158 0.734 0.072
0.928 0.086 0.662
0.740 0.258 0.343
0.657 0.397 0.915
0.519 0.603 0.260
0.577 0.914 0.842
0.338 0.266 0.423
0.085 0.742 0.481
0.030 0.326 0.131
0.869 0.899 0.194
0.806 0.674 0.704
0.500 0.000 0.500
0.296 0.101 0.970
0.250 0.500 0.750

***

# 6
TbSm3Th2 | Alexandria via LeMat-Bulk | PBE-GGA | relaxed; E = -66.79 eV for the cell shown; volume = 33.0 A^3/atom; energy above the lowest structure with this stoichiometry = 0 meV per atom; crystal system = monoclinic; M_tot = 0.0 μB/cell; formation energy from the elements = 0.039 eV/atom; SG = P2_1/m
1.0
3.610 0.000 0.000
0.000 10.081 1.184
0.000 -1.294 10.712
Tb Sm Th
2 6 4
direct
0.250 0.875 0.750
0.750 0.125 0.250
0.750 0.133 0.583
0.250 0.867 0.417
0.750 0.624 0.250
0.250 0.376 0.750
0.250 0.365 0.083
0.750 0.635 0.917
0.250 0.379 0.418
0.750 0.621 0.582
0.750 0.118 0.918
0.250 0.882 0.082

***

# 7
TbSm2Th2 | Alexandria via LeMat-Bulk | PBE-GGA | relaxed; E = -28.76 eV for the cell shown; volume = 32.8 A^3/atom; energy above the lowest structure with this stoichiometry = 0 meV per atom; crystal system = trigonal; M_tot = 0.0 μB/cell; formation energy from the elements = 0.029 eV/atom; SG = R-3m
1.0
-2.819 -0.074 -2.243
-3.246 -0.981 1.218
-4.990 13.533 2.933
Tb Sm Th
1 2 2
direct
0.000 0.000 0.000
0.798 0.798 0.607
0.202 0.202 0.393
0.399 0.399 0.802
0.601 0.601 0.198

***

# 8
Tb7Sm2Th | Alexandria via LeMat-Bulk | PBE-GGA | relaxed; E = -47.60 eV for the cell shown; volume = 33.0 A^3/atom; crystal system = orthorhombic; M_tot = 0.0 μB/cell; formation energy from the elements = 0.167 eV/atom; SG = Cmmm
1.0
-2.908 1.231 -1.444
-7.836 -5.083 11.449
7.902 10.165 -7.250
Tb Sm Th
7 2 1
direct
0.000 0.813 0.187
0.000 0.187 0.813
0.500 0.147 0.342
0.500 0.853 0.658
0.500 0.342 0.147
0.500 0.658 0.853
0.500 0.500 0.500
0.500 0.705 0.295
0.500 0.295 0.705
0.000 0.000 0.000

***

# 9
Tb4SmTh2 | Alexandria via LeMat-Bulk | PBE-GGA | relaxed; E = -32.52 eV for the cell shown; volume = 37.4 A^3/atom; energy above the lowest structure with this stoichiometry = 694 meV per atom; crystal system = tetragonal; M_tot = 0.0 μB/cell; formation energy from the elements = 0.794 eV/atom; SG = I4/mmm
1.0
-0.438 -5.486 -1.093
4.270 -1.036 3.490
-7.271 2.433 5.107
Tb Sm Th
4 1 2
direct
0.818 0.818 0.637
0.182 0.182 0.363
0.000 0.500 0.000
0.500 0.000 0.000
0.000 0.000 0.000
0.612 0.612 0.224
0.388 0.388 0.776

***

# 10
Tb6SmTh4 | Alexandria via LeMat-Bulk | PBE-GGA | relaxed; E = -60.30 eV for the cell shown; volume = 33.0 A^3/atom; crystal system = orthorhombic; M_tot = 0.0 μB/cell; formation energy from the elements = 0.171 eV/atom; SG = Immm
1.0
-3.103 0.057 -1.500
2.193 -2.880 -4.645
-3.585 -14.182 10.833
Tb Sm Th
6 1 4
direct
0.767 0.267 0.535
0.869 0.369 0.737
0.131 0.631 0.263
0.596 0.096 0.193
0.404 0.904 0.807
0.233 0.733 0.465
0.000 0.000 0.000
0.456 0.456 0.912
0.183 0.183 0.365
0.817 0.817 0.635
0.544 0.544 0.088

***

# 11
Tb4Sm3Th2 | Alexandria via LeMat-Bulk | PBE-GGA | relaxed; E = -47.43 eV for the cell shown; volume = 32.7 A^3/atom; energy above the lowest structure with this stoichiometry = 0 meV per atom; crystal system = monoclinic; M_tot = 0.0 μB/cell; formation energy from the elements = 0.009 eV/atom; SG = C2/m
1.0
3.537 0.000 -0.761
-0.762 8.887 -3.539
0.208 -0.579 9.560
Tb Sm Th
4 3 2
direct
0.816 0.671 0.632
0.184 0.329 0.368
0.483 0.669 0.965
0.517 0.331 0.035
0.850 0.328 0.701
0.150 0.672 0.299
0.000 0.000 0.000
0.668 0.001 0.337
0.332 0.999 0.663

***

# 12
Tb10SmTh4 | Alexandria via LeMat-Bulk | PBE-GGA | relaxed; E = -75.06 eV for the cell shown; volume = 33.8 A^3/atom; crystal system = tetragonal; M_tot = 0.0 μB/cell; formation energy from the elements = 0.376 eV/atom; SG = I4/m
1.0
0.131 7.476 -7.775
-6.605 4.925 -2.859
1.634 8.534 0.750
Tb Sm Th
10 1 4
direct
0.250 0.500 0.500
0.541 0.328 0.904
0.130 0.096 0.328
0.555 0.904 0.672
0.774 0.672 0.096
0.459 0.672 0.096
0.750 0.500 0.500
0.226 0.328 0.904
0.445 0.096 0.328
0.870 0.904 0.672
0.000 0.000 0.000
0.338 0.726 0.598
0.936 0.402 0.726
0.064 0.598 0.274
0.662 0.274 0.402

***

# 13
Tb2Sm4Th3 | Alexandria via LeMat-Bulk | PBE-GGA | relaxed; E = -49.98 eV for the cell shown; volume = 32.9 A^3/atom; energy above the lowest structure with this stoichiometry = 0 meV per atom; crystal system = monoclinic; M_tot = 0.0 μB/cell; formation energy from the elements = 0.046 eV/atom; SG = C2/m
1.0
3.611 0.000 0.000
-1.805 7.811 0.069
0.000 2.468 10.509
Tb Sm Th
2 4 3
direct
0.335 0.671 0.222
0.665 0.329 0.778
0.662 0.324 0.114
0.003 0.005 0.663
0.997 0.995 0.337
0.338 0.676 0.886
0.329 0.657 0.557
0.000 0.000 0.000
0.671 0.343 0.443

***

# 14
Tb5Sm4Th | Alexandria via LeMat-Bulk | PBE-GGA | relaxed; E = -46.67 eV for the cell shown; volume = 34.1 A^3/atom; energy above the lowest structure with this stoichiometry = 258 meV per atom; crystal system = tetragonal; M_tot = 0.0 μB/cell; formation energy from the elements = 0.278 eV/atom; SG = I4mm
1.0
-3.003 3.621 -4.057
-6.169 -3.747 -3.533
-6.008 4.132 3.378
Tb Sm Th
5 4 1
direct
0.763 0.376 0.000
0.139 0.000 0.624
0.763 0.000 0.376
0.139 0.624 0.000
0.695 0.000 0.000
0.446 0.319 0.681
0.765 0.681 0.681
0.127 0.319 0.319
0.446 0.681 0.319
0.227 0.000 0.000

***

# 15
Tb7SmTh3 | Alexandria via LeMat-Bulk | PBE-GGA | relaxed; E = -57.04 eV for the cell shown; volume = 34.0 A^3/atom; energy above the lowest structure with this stoichiometry = 60 meV per atom; crystal system = trigonal; M_tot = 0.0 μB/cell; formation energy from the elements = 0.214 eV/atom; SG = P3m1
1.0
8.587 0.000 0.000
0.000 7.094 0.000
0.000 -3.547 6.143
Tb Sm Th
7 1 3
direct
0.113 0.168 0.832
0.113 0.168 0.336
0.110 0.667 0.333
0.453 0.832 0.168
0.453 0.336 0.168
0.453 0.832 0.664
0.113 0.664 0.832
0.457 0.333 0.667
0.784 0.501 0.499
0.784 0.501 0.001
0.784 0.999 0.499

***

# 16
Tb4Sm3Th | Alexandria via LeMat-Bulk | PBE-GGA | relaxed; E = -79.51 eV for the cell shown; volume = 33.1 A^3/atom; energy above the lowest structure with this stoichiometry = 0 meV per atom; crystal system = orthorhombic; M_tot = 0.0 μB/cell; formation energy from the elements = 0.043 eV/atom; SG = Pmn2_1
1.0
-0.009 5.301 3.385
-7.201 -0.517 0.791
1.506 -6.179 9.680
Tb Sm Th
8 6 2
direct
0.146 0.876 0.000
0.649 0.130 0.000
0.987 0.126 0.248
0.487 0.874 0.252
0.149 0.870 0.500
0.646 0.124 0.500
0.487 0.874 0.748
0.987 0.126 0.752
0.646 0.622 0.000
0.975 0.622 0.249
0.475 0.378 0.251
0.146 0.378 0.500
0.475 0.378 0.749
0.975 0.622 0.751
0.150 0.375 0.000
0.650 0.625 0.500

***

# 17
Tb12SmTh3 | Alexandria via LeMat-Bulk | PBE-GGA | relaxed; E = -82.01 eV for the cell shown; volume = 32.0 A^3/atom; crystal system = tetragonal; M_tot = 0.0 μB/cell; formation energy from the elements = 0.033 eV/atom; SG = P4/mmm
1.0
-0.338 3.995 -3.062
-4.196 -1.918 -2.040
-11.102 9.624 13.783
Tb Sm Th
12 1 3
direct
0.500 0.500 0.000
0.500 0.500 0.251
0.500 0.500 0.500
0.500 0.500 0.749
0.500 0.000 0.127
0.500 0.000 0.376
0.500 0.000 0.624
0.500 0.000 0.873
0.000 0.500 0.127
0.000 0.500 0.376
0.000 0.500 0.624
0.000 0.500 0.873
0.000 0.000 0.000
0.000 0.000 0.251
0.000 0.000 0.500
0.000 0.000 0.749

***

# 18
Tb7SmTh4 | Alexandria via LeMat-Bulk | PBE-GGA | relaxed; E = -66.57 eV for the cell shown; volume = 32.2 A^3/atom; crystal system = trigonal; M_tot = 0.0 μB/cell; formation energy from the elements = 0.020 eV/atom; SG = P-3m1
1.0
-2.298 0.211 -2.742
2.185 -2.826 0.294
-24.026 -16.615 18.849
Tb Sm Th
7 1 4
direct
0.000 0.000 0.000
0.333 0.667 0.415
0.667 0.333 0.585
0.333 0.667 0.164
0.667 0.333 0.836
0.000 0.000 0.749
0.000 0.000 0.251
0.000 0.000 0.500
0.333 0.667 0.917
0.667 0.333 0.083
0.333 0.667 0.668
0.667 0.333 0.332

***

# 19
Tb8Sm3Th3 | Alexandria via LeMat-Bulk | PBE-GGA | relaxed; E = -71.23 eV for the cell shown; volume = 32.8 A^3/atom; crystal system = orthorhombic; M_tot = 0.0 μB/cell; formation energy from the elements = 0.159 eV/atom; SG = Immm
1.0
-3.455 1.671 4.196
1.294 -6.139 7.362
3.608 8.248 3.539
Tb Sm Th
8 3 3
direct
0.658 0.118 0.566
0.342 0.882 0.434
0.658 0.566 0.118
0.342 0.434 0.882
0.839 0.764 0.557
0.161 0.236 0.443
0.839 0.557 0.764
0.161 0.443 0.236
0.500 0.500 0.500
0.809 0.191 0.191
0.191 0.809 0.809
0.500 0.000 0.000
0.000 0.815 0.185
0.000 0.185 0.815

***

# 20
Tb3Sm6Th | Alexandria via LeMat-Bulk | PBE-GGA | relaxed; E = -97.65 eV for the cell shown; volume = 33.4 A^3/atom; energy above the lowest structure with this stoichiometry = 0 meV per atom; crystal system = monoclinic; M_tot = 0.0 μB/cell; formation energy from the elements = 0.080 eV/atom; SG = P2_1/m
1.0
-3.111 0.148 -1.706
-5.632 -7.051 9.659
-2.088 13.438 4.968
Tb Sm Th
6 12 2
direct
0.750 0.422 0.904
0.250 0.578 0.096
0.750 0.625 0.502
0.250 0.375 0.498
0.750 0.074 0.101
0.250 0.926 0.899
0.750 0.500 0.690
0.250 0.500 0.310
0.750 0.811 0.080
0.250 0.189 0.920
0.750 0.345 0.120
0.250 0.655 0.880
0.750 0.729 0.299
0.250 0.271 0.701
0.750 0.122 0.485
0.250 0.878 0.515
0.750 0.779 0.713
0.250 0.221 0.287
0.750 0.037 0.722
0.250 0.963 0.278

***

# 21
Tb2Sm2Th | Alexandria via LeMat-Bulk | PBE-GGA | relaxed; E = -25.83 eV for the cell shown; volume = 32.6 A^3/atom; energy above the lowest structure with this stoichiometry = 0 meV per atom; crystal system = monoclinic; M_tot = 0.0 μB/cell; formation energy from the elements = 0.058 eV/atom; SG = P2/m
1.0
3.533 0.000 0.000
0.000 5.409 -0.105
0.000 -2.548 8.581
Tb Sm Th
2 2 1
direct
0.500 0.397 0.793
0.500 0.603 0.207
0.000 0.802 0.605
0.000 0.198 0.395
0.000 0.000 0.000